(1)
An optimized crystal structure of GaCuSi2, computed with PBE.

The structure in POSCAR format:
```
GaCuSi2
1.0
-2.450 2.593 -2.250
1.115 -2.013 -3.534
-6.502 -4.469 -2.023
Cu Ga Si
2 2 4
direct
0.250 0.750 0.500
0.500 0.500 0.000
0.000 0.000 0.000
0.750 0.250 0.500
0.875 0.810 0.750
0.190 0.625 0.250
0.560 0.125 0.250
0.375 0.440 0.750
```

Computed properties:
The space group is I-42d. The calculation puts the formation energy without anion corrections at 179.5 meV/atom.

(2)
An optimized crystal structure of Ga2CuSi, computed with PBE.

The structure in POSCAR format:
```
Ga2CuSi
1.0
4.148 0.000 0.000
0.000 4.148 0.000
2.074 2.074 7.951
Ga Cu Si
4 2 2
direct
0.093 0.625 0.250
0.657 0.125 0.250
0.875 0.907 0.750
0.375 0.343 0.750
0.750 0.250 0.500
0.000 0.000 0.000
0.250 0.750 0.500
0.500 0.500 0.000
```

Computed properties:
The space group is I-42d. The calculation puts the formation energy without anion corrections at 176.2 meV/atom.

(3)
An optimized crystal structure of Ga4Cu8Si, computed with PBE.

The structure in POSCAR format:
```
Ga4Cu8Si
1.0
3.449 0.000 0.000
0.000 3.822 0.000
0.000 0.000 13.582
Cu Ga Si
8 4 1
direct
0.000 0.000 0.487
0.500 0.000 0.624
0.500 0.000 0.195
0.000 0.000 0.762
0.500 0.500 0.054
0.000 0.500 0.910
0.500 0.500 0.762
0.000 0.500 0.204
0.500 0.000 0.896
0.000 0.500 0.616
0.500 0.500 0.418
0.000 0.000 0.057
0.000 0.000 0.317
```

Computed properties:
The space group is Pmm2. The calculation puts the formation energy without anion corrections at -7.9 meV/atom.

(4)
An optimized crystal structure of GaCu6Si, computed with PBE.

The structure in POSCAR format:
```
GaCu6Si
1.0
4.146 0.000 0.000
0.000 4.629 -2.476
0.000 -0.170 5.247
Cu Si Ga
6 1 1
direct
0.000 0.581 0.419
0.000 0.581 0.913
0.500 0.915 0.580
0.000 0.087 0.419
0.500 0.420 0.085
0.500 0.915 0.085
0.500 0.417 0.583
0.000 0.083 0.917
```

Computed properties:
The space group is P-6m2. The calculation puts the formation energy without anion corrections at -71.2 meV/atom.

(5)
An optimized crystal structure of Ga2CuSi2, computed with PBE.

The structure in POSCAR format:
```
Ga2CuSi2
1.0
6.058 0.000 0.000
0.000 6.058 0.000
0.000 0.000 4.638
Ga Si Cu
4 4 2
direct
0.680 0.820 0.500
0.320 0.180 0.500
0.180 0.680 0.500
0.820 0.320 0.500
0.360 0.860 0.000
0.860 0.640 0.000
0.140 0.360 0.000
0.640 0.140 0.000
0.500 0.500 0.000
0.000 0.000 0.000
```

Computed properties:
The space group is P4/mbm. The calculation puts the formation energy without anion corrections at 197.0 meV/atom.

(6)
An optimized crystal structure of GaCu3Si, computed with PBE.

The structure in POSCAR format:
```
GaCu3Si
1.0
-1.448 1.931 -1.162
-5.475 -2.752 2.247
0.521 4.390 6.648
Cu Ga Si
6 2 2
direct
0.750 0.560 0.809
0.250 0.250 0.702
0.250 0.060 0.191
0.750 0.940 0.809
0.250 0.440 0.191
0.750 0.750 0.298
0.250 0.750 0.567
0.750 0.250 0.433
0.250 0.750 0.026
0.750 0.250 0.974
```

Computed properties:
The space group is Pmmn. The calculation puts the formation energy without anion corrections at 54.1 meV/atom.

Repeat the first record exactly.
An optimized crystal structure of GaCuSi2, computed with PBE.

The structure in POSCAR format:
```
GaCuSi2
1.0
-2.450 2.593 -2.250
1.115 -2.013 -3.534
-6.502 -4.469 -2.023
Cu Ga Si
2 2 4
direct
0.250 0.750 0.500
0.500 0.500 0.000
0.000 0.000 0.000
0.750 0.250 0.500
0.875 0.810 0.750
0.190 0.625 0.250
0.560 0.125 0.250
0.375 0.440 0.750
```

Computed properties:
The space group is I-42d. The calculation puts the formation energy without anion corrections at 179.5 meV/atom.